Entry 1:
The following is a DFT calculation (PBE) of a geometry-optimized ZrCo4Si2 structure.

Energy   -7.406 eV per atom
Offset from the most stable computed form   0.000 eV per atom
V   12.5 A^3/atom
Formation energy from raw total energies   -575 meV per atom

Structure (extended XYZ):
```
14
Lattice="3.610 0.000 0.000 0.000 6.975 0.000 0.000 0.000 6.975" Properties=species:S:1:pos:R:3 pbc="T T T"
Si 0.000 1.550 5.425
Si 1.805 1.938 1.938
Si 0.000 5.425 1.550
Si 1.805 5.037 5.037
Zr 1.805 0.000 0.000
Zr 0.000 3.487 3.487
Co 1.805 5.895 2.908
Co 1.805 2.908 5.895
Co 1.805 4.067 1.079
Co 0.000 0.580 2.408
Co 0.000 6.395 4.566
Co 1.805 1.079 4.067
Co 0.000 2.408 0.580
Co 0.000 4.566 6.395
```



Entry 2:
The following is a DFT calculation (PBE) of a geometry-optimized NaCd3Ag structure.

Energy   -1.444 eV per atom
Offset from the most stable computed form   0.000 eV per atom
V   24.0 A^3/atom

Structure (extended XYZ):
```
10
Lattice="-3.804 -4.129 0.095 4.420 -4.044 1.229 -3.165 3.060 6.234" Properties=species:S:1:pos:R:3 pbc="T T T"
Na -0.800 -4.948 1.813
Na -1.749 -0.165 5.745
Cd -3.193 -2.728 2.506
Cd -0.126 -1.739 2.365
Cd -4.626 -1.360 4.582
Cd -2.424 -3.374 5.194
Cd 0.643 -2.385 5.052
Cd 2.077 -3.753 2.977
Ag 0.000 0.000 0.000
Ag -1.902 -2.065 0.048
```



Entry 3:
The following is a DFT calculation (PBE) of a geometry-optimized Tb6Dy3Tm structure.

Energy   -4.483 eV per atom
Offset from the most stable computed form   0.000 eV per atom
V   31.8 A^3/atom

Structure (extended XYZ):
```
20
Lattice="6.335 0.000 0.000 0.000 10.008 -5.681 0.000 -2.215 11.293" Properties=species:S:1:pos:R:3 pbc="T T T"
Tb 2.037 9.821 -5.421
Tb 3.592 4.574 4.856
Tb 2.070 2.592 7.510
Tb 5.238 5.202 -1.898
Tb 0.425 6.056 2.798
Tb 5.205 -2.027 11.033
Tb 5.238 7.944 0.077
Tb 2.070 -0.151 5.535
Tb 1.838 6.331 -0.575
Tb 5.005 1.462 6.187
Tb 3.592 1.738 2.814
Tb 0.425 3.219 0.756
Dy 3.101 8.034 2.511
Dy 6.268 -0.241 3.101
Dy 6.268 4.929 6.823
Dy 3.740 4.873 1.450
Dy 3.101 2.864 -1.212
Dy 0.572 2.920 4.162
Tm 3.273 8.049 -2.961
Tm 0.106 -0.256 8.573
```



Entry 4:
The following is a DFT calculation (PBE) of a geometry-optimized Nd4Ag2Au structure.

Energy   -4.274 eV per atom
V   29.0 A^3/atom

Structure (extended XYZ):
```
7
Lattice="5.228 0.000 0.000 0.000 6.076 -2.097 0.000 -0.089 6.427" Properties=species:S:1:pos:R:3 pbc="T T T"
Nd 2.614 3.038 -1.049
Nd 0.000 4.483 3.242
Nd 0.000 1.504 1.088
Nd 2.614 -0.045 3.214
Ag 0.000 4.574 -0.021
Ag 0.000 1.413 4.351
Au 2.614 2.993 2.165
```



Entry 5:
The following is a DFT calculation (PBE) of a geometry-optimized MnTlSi2 structure.

Energy   -5.246 eV per atom
Offset from the most stable computed form   0.217 eV per atom
V   17.4 A^3/atom
Formation energy from raw total energies   349 meV per atom

Structure (extended XYZ):
```
4
Lattice="-2.437 0.257 1.910 -1.925 -0.202 -2.430 -0.177 -7.171 0.738" Properties=species:S:1:pos:R:3 pbc="T T T"
Si -0.171 -6.905 0.710
Si -2.210 -1.157 -0.138
Tl -0.094 -3.795 0.390
Mn -2.331 -6.016 0.361
```



Entry 6:
The following is a DFT calculation (PBE) of a geometry-optimized BeAg structure.

Energy   -3.013 eV per atom
V   13.6 A^3/atom

Structure (extended XYZ):
```
4
Lattice="-2.494 -1.154 -0.428 1.558 -0.815 2.155 -3.434 5.703 4.638" Properties=species:S:1:pos:R:3 pbc="T T T"
Be -3.631 3.089 3.792
Be -1.806 2.999 2.439
Ag -3.323 5.519 4.489
Ag -2.113 0.569 1.742
```



Entry 7:
The following is a DFT calculation (PBE) of a geometry-optimized Dy3Tm5Bi8 structure.

Energy   -5.010 eV per atom
V   31.1 A^3/atom

Structure (extended XYZ):
```
16
Lattice="-5.158 4.474 5.700 -3.392 -4.129 7.111 3.017 1.953 8.136" Properties=species:S:1:pos:R:3 pbc="T T T"
Tm -4.275 0.172 6.406
Tm 0.000 0.000 0.000
Tm -1.071 3.213 6.918
Tm -2.767 1.149 10.474
Tm -0.187 -1.088 7.623
Bi -4.144 1.721 15.688
Bi 0.119 1.547 9.287
Bi -1.582 -0.504 12.873
Bi -3.951 2.802 8.075
Bi -3.072 -1.481 8.777
Bi -2.461 3.779 12.171
Bi -5.652 0.751 11.660
Bi -1.389 0.577 5.259
Dy 1.508 0.977 4.068
Dy -2.579 2.237 2.850
Dy -1.696 -2.065 3.555
```



Entry 8:
The following is a DFT calculation (PBE) of a geometry-optimized TePSeO2 structure.

Energy   -4.243 eV per atom
Offset from the most stable computed form   0.245 eV per atom
V   16.5 A^3/atom
Formation energy from raw total energies   147 meV per atom

Structure (extended XYZ):
```
5
Lattice="-3.510 -1.498 -0.006 1.236 -2.904 2.145 -1.258 2.930 4.691" Properties=species:S:1:pos:R:3 pbc="T T T"
Te -1.766 -0.736 3.415
Se 0.000 0.000 0.000
O 0.618 -1.452 1.073
O -1.755 -0.749 -0.003
P -0.629 1.465 2.345
```